## Tb2Y2Sb2C (PBE-GGA)

Data for crystalline Tb2Y2Sb2C at its relaxed geometry.

a b c (Å): 4.791 4.791 8.622
angles (deg): 106.13 106.13 90.00
Atoms (fractional coordinates):
Sb1 0.642 0.642 0.284
Sb2 0.358 0.358 0.716
Y1 0.500 0.000 0.000
Y2 0.000 0.500 0.000
Tb1 0.842 0.842 0.684
Tb2 0.158 0.158 0.316
C1 0.000 0.000 0.000

Properties
Density of states at the Fermi level (states/eV/atom): 0.892
Space-group type: I4/mmm
Density (g/cm3): 6.855
Energy relative to the elements, uncorrected (eV/atom): -0.80